A relaxed structure of BaCuAs2. Source: the Alexandria database, functional GGA-PBE.

Properties
Energy of formation from the pure elements ... -457 meV/atom
DFT total energy ... -4.286 eV/atom

The structure in CIF format:
```
data_BaCuAs2
_chemical_formula_sum 'Ba1 Cu1 As2'
_space_group_name_H-M_alt 'P 1'
_space_group_IT_number 1
_cell_length_a 5.5480
_cell_length_b 5.5480
_cell_length_c 6.6087
_cell_angle_alpha 51.14
_cell_angle_beta 51.14
_cell_angle_gamma 43.96
loop_
_space_group_symop_operation_xyz
'x,y,z'
loop_
_atom_site_label
_atom_site_type_symbol
_atom_site_fract_x
_atom_site_fract_y
_atom_site_fract_z
Cu1 Cu 0.7500 0.7500 0.7500
As1 As 0.4177 0.4177 0.5709
As2 As 0.0823 0.0823 0.9291
Ba1 Ba 0.2500 0.2500 0.2500
```


A relaxed structure of Dy2Fe2Ge2N. Source: the Alexandria database, functional GGA-PBE.

Properties
Energy relative to the elements, uncorrected ... -0.78 eV/atom
DFT total energy ... -7.020 eV/atom

The structure in CIF format:
```
data_Dy2Fe2Ge2N
_chemical_formula_sum 'Dy2 Fe2 Ge2 N1'
_space_group_name_H-M_alt 'P 1'
_space_group_IT_number 1
_cell_length_a 3.8702
_cell_length_b 5.8744
_cell_length_c 6.8139
_cell_angle_alpha 52.39
_cell_angle_beta 90.00
_cell_angle_gamma 70.75
loop_
_space_group_symop_operation_xyz
'x,y,z'
loop_
_atom_site_label
_atom_site_type_symbol
_atom_site_fract_x
_atom_site_fract_y
_atom_site_fract_z
N1 N 0.0000 0.0000 0.0000
Ge1 Ge 0.1617 0.6766 0.6221
Ge2 Ge 0.8383 0.3234 0.3779
Fe1 Fe 0.8078 0.3848 0.6965
Fe2 Fe 0.1922 0.6152 0.3035
Dy1 Dy 0.4427 0.1141 0.1717
Dy2 Dy 0.5573 0.8859 0.8283
```


A relaxed structure of LaGa4Ir2Os. Source: the Alexandria database, functional GGA-PBE.

Properties
Energy of formation from the pure elements ... -420 meV/atom
DFT total energy ... -6.169 eV/atom

The structure in CIF format:
```
data_LaGa4Ir2Os
_chemical_formula_sum 'La1 Ga4 Ir2 Os1'
_space_group_name_H-M_alt 'P 1'
_space_group_IT_number 1
_cell_length_a 4.2827
_cell_length_b 4.2827
_cell_length_c 9.2474
_cell_angle_alpha 76.61
_cell_angle_beta 76.61
_cell_angle_gamma 60.00
loop_
_space_group_symop_operation_xyz
'x,y,z'
loop_
_atom_site_label
_atom_site_type_symbol
_atom_site_fract_x
_atom_site_fract_y
_atom_site_fract_z
Ga1 Ga 0.1325 0.1325 0.6024
Ga2 Ga 0.5960 0.5960 0.2119
Ga3 Ga 0.8675 0.8675 0.3976
Ga4 Ga 0.4040 0.4040 0.7881
Ir1 Ir 0.7650 0.7650 0.7051
Ir2 Ir 0.2350 0.2350 0.2949
La1 La 0.0000 0.0000 0.0000
Os1 Os 0.5000 0.5000 0.5000
```


A relaxed structure of CuHg2Br. Source: the Alexandria database, functional GGA-PBE.

Properties
Energy relative to the elements, uncorrected ... -0.09 eV/atom
Distance to the lowest polymorph of the same formula ... 0.0000 eV/atom
DFT total energy ... -1.686 eV/atom

The structure in CIF format:
```
data_CuHg2Br
_chemical_formula_sum 'Cu1 Hg2 Br1'
_space_group_name_H-M_alt 'P 1'
_space_group_IT_number 1
_cell_length_a 9.0474
_cell_length_b 9.0474
_cell_length_c 9.0474
_cell_angle_alpha 24.55
_cell_angle_beta 24.55
_cell_angle_gamma 24.55
loop_
_space_group_symop_operation_xyz
'x,y,z'
loop_
_atom_site_label
_atom_site_type_symbol
_atom_site_fract_x
_atom_site_fract_y
_atom_site_fract_z
Br1 Br 0.4648 0.4648 0.4648
Hg1 Hg 0.0203 0.0203 0.0203
Hg2 Hg 0.2590 0.2590 0.2590
Cu1 Cu 0.7559 0.7559 0.7559
```


A relaxed structure of Zn3BOs. Source: the Alexandria database, functional GGA-PBE.

Properties
Distance to the lowest polymorph of the same formula ... 0.6467 eV/atom
Energy of formation from the pure elements ... 1538 meV/atom
DFT total energy ... -2.808 eV/atom

The structure in CIF format:
```
data_Zn3BOs
_chemical_formula_sum 'Zn3 B1 Os1'
_space_group_name_H-M_alt 'P 1'
_space_group_IT_number 1
_cell_length_a 4.7917
_cell_length_b 4.7917
_cell_length_c 4.7917
_cell_angle_alpha 90.00
_cell_angle_beta 90.00
_cell_angle_gamma 90.00
loop_
_space_group_symop_operation_xyz
'x,y,z'
loop_
_atom_site_label
_atom_site_type_symbol
_atom_site_fract_x
_atom_site_fract_y
_atom_site_fract_z
Zn1 Zn 0.0000 0.0000 0.5000
Zn2 Zn 0.0000 0.5000 0.0000
Zn3 Zn 0.5000 0.0000 0.0000
Os1 Os 0.0000 0.0000 0.0000
B1 B 0.5000 0.5000 0.5000
```


A relaxed structure of ErTmSnRu. Source: the Alexandria database, functional GGA-PBE.

Properties
Distance to the lowest polymorph of the same formula ... 0.1495 eV/atom
Energy of formation from the pure elements ... -440 meV/atom
DFT total energy ... -6.019 eV/atom

The structure in CIF format:
```
data_ErTmSnRu
_chemical_formula_sum 'Er1 Tm1 Sn1 Ru1'
_space_group_name_H-M_alt 'P 1'
_space_group_IT_number 1
_cell_length_a 5.0146
_cell_length_b 5.0146
_cell_length_c 5.0146
_cell_angle_alpha 60.00
_cell_angle_beta 60.00
_cell_angle_gamma 60.00
loop_
_space_group_symop_operation_xyz
'x,y,z'
loop_
_atom_site_label
_atom_site_type_symbol
_atom_site_fract_x
_atom_site_fract_y
_atom_site_fract_z
Sn1 Sn 0.2500 0.2500 0.2500
Er1 Er 0.0000 0.0000 0.0000
Tm1 Tm 0.5000 0.5000 0.5000
Ru1 Ru 0.7500 0.7500 0.7500
```


A relaxed structure of UBeRh. Source: the Alexandria database, functional GGA-PBE.

Properties
Distance to the lowest polymorph of the same formula ... 0.1391 eV/atom
Energy of formation from the pure elements ... -228 meV/atom
DFT total energy ... -7.684 eV/atom

The structure in CIF format:
```
data_UBeRh
_chemical_formula_sum 'U1 Be1 Rh1'
_space_group_name_H-M_alt 'P 1'
_space_group_IT_number 1
_cell_length_a 2.8864
_cell_length_b 2.8864
_cell_length_c 5.7640
_cell_angle_alpha 104.50
_cell_angle_beta 104.50
_cell_angle_gamma 90.00
loop_
_space_group_symop_operation_xyz
'x,y,z'
loop_
_atom_site_label
_atom_site_type_symbol
_atom_site_fract_x
_atom_site_fract_y
_atom_site_fract_z
Be1 Be 0.6975 0.6975 0.3950
U1 U 0.0021 0.0021 0.0041
Rh1 Rh 0.3004 0.3004 0.6009
```


A relaxed structure of HfZrGaCo. Source: the Alexandria database, functional GGA-PBE.

Properties
Energy of formation from the pure elements ... -322 meV/atom
DFT total energy ... -7.480 eV/atom

The structure in CIF format:
```
data_HfZrGaCo
_chemical_formula_sum 'Hf1 Zr1 Ga1 Co1'
_space_group_name_H-M_alt 'P 1'
_space_group_IT_number 1
_cell_length_a 4.6316
_cell_length_b 4.6316
_cell_length_c 4.6316
_cell_angle_alpha 60.00
_cell_angle_beta 60.00
_cell_angle_gamma 60.00
loop_
_space_group_symop_operation_xyz
'x,y,z'
loop_
_atom_site_label
_atom_site_type_symbol
_atom_site_fract_x
_atom_site_fract_y
_atom_site_fract_z
Ga1 Ga 0.2500 0.2500 0.2500
Zr1 Zr 0.0000 0.0000 0.0000
Hf1 Hf 0.5000 0.5000 0.5000
Co1 Co 0.7500 0.7500 0.7500
```


A relaxed structure of Ac2EuCu. Source: the Alexandria database, functional GGA-PBE.

Properties
Distance to the lowest polymorph of the same formula ... 0.0000 eV/atom
Energy of formation from the pure elements ... -14 meV/atom
DFT total energy ... -5.661 eV/atom

The structure in CIF format:
```
data_Ac2EuCu
_chemical_formula_sum 'Ac2 Eu1 Cu1'
_space_group_name_H-M_alt 'P 1'
_space_group_IT_number 1
_cell_length_a 3.8705
_cell_length_b 3.8705
_cell_length_c 9.5091
_cell_angle_alpha 90.00
_cell_angle_beta 90.00
_cell_angle_gamma 90.00
loop_
_space_group_symop_operation_xyz
'x,y,z'
loop_
_atom_site_label
_atom_site_type_symbol
_atom_site_fract_x
_atom_site_fract_y
_atom_site_fract_z
Ac1 Ac 0.0000 0.0000 0.8090
Ac2 Ac 0.0000 0.0000 0.1910
Cu1 Cu 0.5000 0.5000 0.0000
Eu1 Eu 0.5000 0.5000 0.5000
```


A relaxed structure of Ti2NbAu2. Source: the Alexandria database, functional GGA-PBE.

Properties
Distance to the lowest polymorph of the same formula ... 0.0000 eV/atom
Energy of formation from the pure elements ... -239 meV/atom
DFT total energy ... -6.721 eV/atom

The structure in CIF format:
```
data_Ti2NbAu2
_chemical_formula_sum 'Ti2 Nb1 Au2'
_space_group_name_H-M_alt 'P 1'
_space_group_IT_number 1
_cell_length_a 3.1953
_cell_length_b 3.3528
_cell_length_c 8.6546
_cell_angle_alpha 78.83
_cell_angle_beta 90.00
_cell_angle_gamma 90.00
loop_
_space_group_symop_operation_xyz
'x,y,z'
loop_
_atom_site_label
_atom_site_type_symbol
_atom_site_fract_x
_atom_site_fract_y
_atom_site_fract_z
Au1 Au 0.0000 0.1831 0.6339
Au2 Au 0.0000 0.8169 0.3661
Nb1 Nb 0.0000 0.0000 0.0000
Ti1 Ti 0.5000 0.4065 0.1871
Ti2 Ti 0.5000 0.5935 0.8129
```


A relaxed structure of NaCaBN2. Source: the Alexandria database, functional GGA-PBE.

Properties
Energy relative to the elements, uncorrected ... -0.85 eV/atom
DFT total energy ... -6.179 eV/atom

The structure in CIF format:
```
data_NaCaBN2
_chemical_formula_sum 'Na2 Ca2 B2 N4'
_space_group_name_H-M_alt 'P 1'
_space_group_IT_number 1
_cell_length_a 5.1707
_cell_length_b 4.8022
_cell_length_c 6.6372
_cell_angle_alpha 90.01
_cell_angle_beta 90.00
_cell_angle_gamma 90.00
loop_
_space_group_symop_operation_xyz
'x,y,z'
loop_
_atom_site_label
_atom_site_type_symbol
_atom_site_fract_x
_atom_site_fract_y
_atom_site_fract_z
B1 B 0.0000 0.0000 0.5000
B2 B 0.0000 0.0000 0.0000
Na1 Na 0.0002 0.5000 0.7500
Na2 Na 0.9998 0.5000 0.2500
N1 N 0.2091 0.8300 0.5000
N2 N 0.2091 0.1700 0.0000
N3 N 0.7909 0.1700 0.5000
N4 N 0.7909 0.8300 0.0000
Ca1 Ca 0.4999 0.0000 0.2500
Ca2 Ca 0.5001 0.0000 0.7500
```


A relaxed structure of Sr2TaH2. Source: the Alexandria database, functional GGA-PBE.

Properties
Distance to the lowest polymorph of the same formula ... 0.0000 eV/atom
DFT total energy ... -3.954 eV/atom

The structure in CIF format:
```
data_Sr2TaH2
_chemical_formula_sum 'Sr2 Ta1 H2'
_space_group_name_H-M_alt 'P 1'
_space_group_IT_number 1
_cell_length_a 5.4204
_cell_length_b 5.4204
_cell_length_c 5.7201
_cell_angle_alpha 61.72
_cell_angle_beta 61.72
_cell_angle_gamma 90.00
loop_
_space_group_symop_operation_xyz
'x,y,z'
loop_
_atom_site_label
_atom_site_type_symbol
_atom_site_fract_x
_atom_site_fract_y
_atom_site_fract_z
Sr1 Sr 0.7500 0.2500 0.5000
Sr2 Sr 0.2500 0.7500 0.5000
H1 H 0.7707 0.7707 0.4587
H2 H 0.2293 0.2293 0.5413
Ta1 Ta 0.0000 0.0000 0.0000
```


A relaxed structure of Ce2HoIn9. Source: the Alexandria database, functional GGA-PBE.

Properties
Energy of formation from the pure elements ... -409 meV/atom
DFT total energy ... -3.833 eV/atom

The structure in CIF format:
```
data_Ce2HoIn9
_chemical_formula_sum 'Ce2 Ho1 In9'
_space_group_name_H-M_alt 'P 1'
_space_group_IT_number 1
_cell_length_a 4.6838
_cell_length_b 4.6838
_cell_length_c 14.0348
_cell_angle_alpha 90.00
_cell_angle_beta 90.00
_cell_angle_gamma 90.00
loop_
_space_group_symop_operation_xyz
'x,y,z'
loop_
_atom_site_label
_atom_site_type_symbol
_atom_site_fract_x
_atom_site_fract_y
_atom_site_fract_z
In1 In 0.0000 0.5000 0.5000
In2 In 0.0000 0.5000 0.8366
In3 In 0.5000 0.0000 0.1634
In4 In 0.5000 0.5000 0.0000
In5 In 0.5000 0.0000 0.8366
In6 In 0.0000 0.5000 0.1634
In7 In 0.5000 0.5000 0.3330
In8 In 0.5000 0.5000 0.6670
In9 In 0.5000 0.0000 0.5000
Ce1 Ce 0.0000 0.0000 0.3306
Ce2 Ce 0.0000 0.0000 0.6694
Ho1 Ho 0.0000 0.0000 0.0000
```